Entry 1:
Compound: LiHoBr4
Source: the Alexandria database
Functional: PBE
Structure: relaxed

Structure (CIF):
```
data_LiHoBr4
_cell_length_a 8.0979
_cell_length_b 17.6192
_cell_length_c 6.9433
_cell_angle_alpha 90.00
_cell_angle_beta 125.26
_cell_angle_gamma 90.00
_space_group_name_H-M_alt 'C 1 2/c 1'
_space_group_IT_number 15
loop_
_space_group_symop_operation_xyz
'x,y,z'
'-x,-y,-z'
'-x,y,-z+1/2'
'x,-y,z+1/2'
'x+1/2,y+1/2,z'
'-x+1/2,-y+1/2,-z'
'-x+1/2,y+1/2,-z+1/2'
'x+1/2,-y+1/2,z+1/2'
loop_
_atom_site_label
_atom_site_fract_x
_atom_site_fract_y
_atom_site_fract_z
Li1 0.0000 0.0876 0.2500
Ho1 0.0000 0.4235 0.7500
Br1 0.2448 0.4547 0.2411
Br2 0.2456 0.1745 0.2443
```

Output
energy above the most stable polymorph in this dataset	27	meV per atom
formation energy from raw total energies	-1.719	eV/atom

Entry 2:
Compound: Pm2Pr6Ho5
Source: the Alexandria database
Functional: PBE
Structure: relaxed

Structure (CIF):
```
data_Pm2Pr6Ho5
_cell_length_a 11.8632
_cell_length_b 20.6817
_cell_length_c 3.6614
_cell_angle_alpha 90.00
_cell_angle_beta 90.00
_cell_angle_gamma 90.00
_space_group_name_H-M_alt 'P b a m'
_space_group_IT_number 55
loop_
_space_group_symop_operation_xyz
'x,y,z'
'-x,-y,-z'
'-x,-y,z'
'x,y,-z'
'x+1/2,-y+1/2,-z'
'-x+1/2,y+1/2,z'
'-x+1/2,y+1/2,-z'
'x+1/2,-y+1/2,z'
loop_
_atom_site_label
_atom_site_fract_x
_atom_site_fract_y
_atom_site_fract_z
Pm1 0.1661 0.2138 0.0000
Pr1 0.0591 0.9218 0.0000
Pr2 0.0814 0.6341 0.0000
Pr3 0.1762 0.3707 0.5000
Ho1 0.0000 0.5000 0.5000
Ho2 0.0936 0.7760 0.5000
Ho3 0.1991 0.0561 0.5000
```

Output
energy of formation from the pure elements	0.1025	eV per atom

Entry 3:
Compound: SrLaBSb2
Source: the Alexandria database
Functional: PBE
Structure: relaxed

Structure (CIF):
```
data_SrLaBSb2
_cell_length_a 5.3860
_cell_length_b 5.3860
_cell_length_c 4.7920
_cell_angle_alpha 90.00
_cell_angle_beta 90.00
_cell_angle_gamma 90.00
_space_group_name_H-M_alt 'P 4/m m m'
_space_group_IT_number 123
_space_group_name_Hall '-P 4 2'
loop_
_atom_site_label
_atom_site_fract_x
_atom_site_fract_y
_atom_site_fract_z
Sr1 0.0000 0.0000 0.0000
La1 0.5000 0.5000 0.0000
B1 0.5000 0.5000 0.5000
Sb1 0.0000 0.5000 0.5000
```

Output
formation energy from raw total energies	-0.090	eV/atom

Entry 4:
Compound: Sm7Ru2Rh2
Source: the Alexandria database
Functional: PBE
Structure: relaxed

Structure (CIF):
```
data_Sm7Ru2Rh2
_cell_length_a 4.1403
_cell_length_b 14.7157
_cell_length_c 9.2145
_cell_angle_alpha 90.00
_cell_angle_beta 90.00
_cell_angle_gamma 90.00
_space_group_name_H-M_alt 'I m m 2'
_space_group_IT_number 44
loop_
_space_group_symop_operation_xyz
'x,y,z'
'-x,-y,z'
'-x,y,z'
'x,-y,z'
'x+1/2,y+1/2,z+1/2'
'-x+1/2,-y+1/2,z+1/2'
'-x+1/2,y+1/2,z+1/2'
'x+1/2,-y+1/2,z+1/2'
loop_
_atom_site_label
_atom_site_fract_x
_atom_site_fract_y
_atom_site_fract_z
Sm1 0.0000 0.0000 0.0000
Sm2 0.0000 0.1157 0.4027
Sm3 0.0000 0.3146 0.6159
Sm4 0.0000 0.3674 0.2323
Ru1 0.0000 0.2346 0.9185
Rh1 0.0000 0.0000 0.6685
Rh2 0.0000 0.5000 0.7207
```

Output
energy of formation from the pure elements	-0.4208	eV per atom
energy above the most stable polymorph in this dataset	0	meV per atom

Entry 5:
Compound: CuIrS3
Source: the Alexandria database
Functional: PBE
Structure: relaxed

Structure (CIF):
```
data_CuIrS3
_cell_length_a 4.6414
_cell_length_b 4.6414
_cell_length_c 4.6414
_cell_angle_alpha 90.00
_cell_angle_beta 90.00
_cell_angle_gamma 90.00
_space_group_name_H-M_alt 'P m -3 m'
_space_group_IT_number 221
_space_group_name_Hall '-P 4 2 3'
loop_
_atom_site_label
_atom_site_fract_x
_atom_site_fract_y
_atom_site_fract_z
Cu1 0.0000 0.0000 0.0000
Ir1 0.5000 0.5000 0.5000
S1 0.0000 0.5000 0.5000
```

Output
energy above the most stable polymorph in this dataset	0	meV per atom
formation energy from raw total energies	0.817	eV/atom

Entry 6:
Compound: DyCrN
Source: the Alexandria database
Functional: PBE
Structure: relaxed

Structure (CIF):
```
data_DyCrN
_cell_length_a 10.1746
_cell_length_b 3.2249
_cell_length_c 5.5824
_cell_angle_alpha 90.00
_cell_angle_beta 90.00
_cell_angle_gamma 90.00
_space_group_name_H-M_alt 'A m m 2'
_space_group_IT_number 38
loop_
_space_group_symop_operation_xyz
'x,y,z'
'-x,-y,z'
'-x,y,z'
'x,-y,z'
'x,y+1/2,z+1/2'
'-x,-y+1/2,z+1/2'
'-x,y+1/2,z+1/2'
'x,-y+1/2,z+1/2'
loop_
_atom_site_label
_atom_site_fract_x
_atom_site_fract_y
_atom_site_fract_z
Dy1 0.1491 0.0000 0.0000
Cr1 0.4042 0.0000 0.6650
N1 0.0000 0.0000 0.6667
N2 0.5000 0.0000 0.9983
```

Output
formation energy from raw total energies	-0.061	eV/atom

Entry 7:
Compound: BaLi2Ag8
Source: the Alexandria database
Functional: PBE
Structure: relaxed

Structure (CIF):
```
data_BaLi2Ag8
_cell_length_a 5.4783
_cell_length_b 5.4783
_cell_length_c 9.6542
_cell_angle_alpha 90.00
_cell_angle_beta 90.00
_cell_angle_gamma 90.00
_space_group_name_H-M_alt 'P 4/m m m'
_space_group_IT_number 123
_space_group_name_Hall '-P 4 2'
loop_
_atom_site_label
_atom_site_fract_x
_atom_site_fract_y
_atom_site_fract_z
Ba1 0.0000 0.0000 0.0000
Li1 0.0000 0.5000 0.5000
Ag1 0.2514 0.2514 0.2928
```

Output
energy of formation from the pure elements	0.0936	eV per atom

Entry 8:
Compound: Ce5CoTe3
Source: the Alexandria database
Functional: PBE
Structure: relaxed

Structure (CIF):
```
data_Ce5CoTe3
_cell_length_a 9.3420
_cell_length_b 9.3420
_cell_length_c 6.2688
_cell_angle_alpha 90.00
_cell_angle_beta 90.00
_cell_angle_gamma 120.00
_space_group_name_H-M_alt 'P 63/m c m'
_space_group_IT_number 193
_space_group_name_Hall '-P 6c 2'
loop_
_atom_site_label
_atom_site_fract_x
_atom_site_fract_y
_atom_site_fract_z
Ce1 0.0000 0.2436 0.2500
Ce2 0.3333 0.6667 0.0000
Co1 0.0000 0.0000 0.0000
Te1 0.0000 0.3890 0.7500
```

Output
formation energy from raw total energies	-0.921	eV/atom

Entry 9:
Compound: La2SmErSe6
Source: the Alexandria database
Functional: PBE
Structure: relaxed

Structure (CIF):
```
data_La2SmErSe6
_cell_length_a 7.4672
_cell_length_b 7.4672
_cell_length_c 19.5725
_cell_angle_alpha 90.00
_cell_angle_beta 90.00
_cell_angle_gamma 120.00
_space_group_name_H-M_alt 'R 3'
_space_group_IT_number 146
_space_group_name_Hall 'R 3'
loop_
_atom_site_label
_atom_site_fract_x
_atom_site_fract_y
_atom_site_fract_z
La1 0.0000 0.0000 0.0000
La2 0.0000 0.0000 0.4985
Sm1 0.0000 0.0000 0.2048
Er1 0.0000 0.0000 0.7028
Se1 0.0467 0.3515 0.7730
Se2 0.0499 0.6868 0.2743
```

Output
formation energy from raw total energies	-1.913	eV/atom

Entry 10:
Compound: Sc2FeMo
Source: the Alexandria database
Functional: PBE
Structure: relaxed

Structure (CIF):
```
data_Sc2FeMo
_cell_length_a 2.9538
_cell_length_b 2.9538
_cell_length_c 28.1317
_cell_angle_alpha 90.00
_cell_angle_beta 90.00
_cell_angle_gamma 120.00
_space_group_name_H-M_alt 'R -3 m'
_space_group_IT_number 166
_space_group_name_Hall '-R 3 2"'
loop_
_atom_site_label
_atom_site_fract_x
_atom_site_fract_y
_atom_site_fract_z
Sc1 0.0000 0.0000 0.0967
Fe1 0.0000 0.0000 0.5000
Mo1 0.0000 0.0000 0.0000
```

Output
energy of formation from the pure elements	0.5109	eV per atom
energy above the most stable polymorph in this dataset	485	meV per atom

Entry 11:
Compound: Pm2Sm8Tm
Source: the Alexandria database
Functional: PBE
Structure: relaxed

Structure (CIF):
```
data_Pm2Sm8Tm
_cell_length_a 18.4374
_cell_length_b 5.1184
_cell_length_c 8.0977
_cell_angle_alpha 90.00
_cell_angle_beta 105.31
_cell_angle_gamma 90.00
_space_group_name_H-M_alt 'C 1 2/m 1'
_space_group_IT_number 12
loop_
_space_group_symop_operation_xyz
'x,y,z'
'-x,-y,-z'
'-x,y,-z'
'x,-y,z'
'x+1/2,y+1/2,z'
'-x+1/2,-y+1/2,-z'
'-x+1/2,y+1/2,-z'
'x+1/2,-y+1/2,z'
loop_
_atom_site_label
_atom_site_fract_x
_atom_site_fract_y
_atom_site_fract_z
Pm1 0.2267 0.0000 0.1365
Sm1 0.0452 0.0000 0.2287
Sm2 0.0902 0.5000 0.9519
Sm3 0.1356 0.0000 0.6799
Sm4 0.1811 0.5000 0.4093
Tm1 0.0000 0.5000 0.5000
```

Output
energy of formation from the pure elements	0.0160	eV per atom
energy above the most stable polymorph in this dataset	0	meV per atom

Entry 12:
Compound: LaErInIr
Source: the Alexandria database
Functional: PBE
Structure: relaxed

Structure (CIF):
```
data_LaErInIr
_cell_length_a 7.3372
_cell_length_b 7.3372
_cell_length_c 7.3372
_cell_angle_alpha 90.00
_cell_angle_beta 90.00
_cell_angle_gamma 90.00
_space_group_name_H-M_alt 'F -4 3 m'
_space_group_IT_number 216
_space_group_name_Hall 'F -4 2 3'
loop_
_atom_site_label
_atom_site_fract_x
_atom_site_fract_y
_atom_site_fract_z
La1 0.0000 0.0000 0.0000
Er1 0.0000 0.0000 0.5000
In1 0.2500 0.2500 0.7500
Ir1 0.2500 0.2500 0.2500
```

Output
energy of formation from the pure elements	-0.4643	eV per atom

no.,total energy (eV/atom),DOS(E_F) (states/eV/cell)
1,-3.92,0.00
2,-4.59,31.24
3,-4.40,2.42
4,-6.45,10.97
5,-4.25,8.15
6,-7.58,14.16
7,-2.50,5.11
8,-6.05,46.45
9,-5.92,0.00
10,-7.48,14.90
11,-4.69,32.40
12,-5.74,14.91